# PBE with a Hubbard U Rb2SbWO6, relaxed
# * raw total energy: -119.7 eV for the cell shown
data_Rb2SbWO6
_cell_length_a 5.874
_cell_length_b 5.874
_cell_length_c 8.296
_cell_angle_alpha 90.00
_cell_angle_beta 90.00
_cell_angle_gamma 90.00
_symmetry_space_group_name_H-M 'I 4/m m m'
_symmetry_Int_Tables_number 139
_symmetry_space_group_name_Hall '-I 4 2'
loop_
_atom_site_label
_atom_site_fract_x
_atom_site_fract_y
_atom_site_fract_z
_atom_site_occupancy
Rb1 0.000 0.500 0.250 1
Sb1 0.000 0.000 0.000 1
W1 0.000 0.000 0.500 1
O1 0.000 0.000 0.262 1
O2 0.237 0.237 0.500 1